1.
A plane-wave DFT calculation with GGA-PBE was carried out for an optimized crystal structure of NaSrEuMg.

Cell lengths 6.0123, 6.0123, 6.0123 Å; angles 60.00, 60.00, 60.00 degrees
Last column: nearest neighbours and their distance in Å.
Positions (direct):
Na: 0.0000 0.0000 0.0000  4 Sr 3.68, 4 Eu 3.68
Sr: 0.7500 0.7500 0.7500  4 Mg 3.68, 4 Na 3.68
Eu: 0.2500 0.2500 0.2500  4 Mg 3.68, 4 Na 3.68
Mg: 0.5000 0.5000 0.5000  4 Sr 3.68, 4 Eu 3.68

Results
- Magnetic moment: 7.45 μB per formula unit
- ΔE_f: 0.019 eV/atom
- Raw total energy: -3.698 eV per atom



2.
A plane-wave DFT calculation with GGA-PBE was carried out for an optimized crystal structure of K2SrTa.

Cell lengths 7.3756, 7.3756, 7.3756 Å; angles 139.00, 139.00, 59.37 degrees
Last column: nearest neighbours and their distance in Å.
Positions (direct):
K: 0.2500 0.7500 0.5000  4 K 3.65
K: 0.7500 0.2500 0.5000  4 K 3.65
Sr: 0.0000 0.0000 0.0000  4 Ta 3.65
Ta: 0.5000 0.5000 0.0000  4 Sr 3.65

Results
- Magnetic moment: 4.43 μB per formula unit
- ΔE_f: 1.261 eV/atom
- Raw total energy: -2.671 eV per atom
- Offset from the most stable computed form: 313 meV/atom



3.
A plane-wave DFT calculation with GGA-PBE was carried out for an optimized crystal structure of TaAsCl2.

Cell lengths 2.9672, 2.9672, 9.7658 Å; angles 90.00, 90.00, 90.00 degrees
Last column: nearest neighbours and their distance in Å.
Positions (direct):
Ta: 0.0000 0.0000 0.0000  8 Cl 2.61
As: 0.0000 0.0000 0.5000  4 As 2.97
Cl: 0.5000 0.5000 0.1592  4 Ta 2.61
Cl: 0.5000 0.5000 0.8408  4 Ta 2.61

Results
- Magnetic moment: 0.00 μB per formula unit
- Raw total energy: -5.102 eV per atom
- Offset from the most stable computed form: 582 meV/atom



4.
A plane-wave DFT calculation with GGA-PBE was carried out for an optimized crystal structure of CoWSe.

Cell lengths 4.1436, 4.1436, 4.1436 Å; angles 60.00, 60.00, 60.00 degrees
Last column: nearest neighbours and their distance in Å.
Positions (direct):
Co: 0.0000 0.0000 0.0000  4 W 2.54
W: 0.2500 0.2500 0.2500  4 Se 2.54, 4 Co 2.54
Se: 0.5000 0.5000 0.5000  4 W 2.54

Results
- Magnetic moment: 0.00 μB per formula unit
- Raw total energy: -7.306 eV per atom
- Offset from the most stable computed form: 282 meV/atom



5.
A plane-wave DFT calculation with GGA-PBE was carried out for an optimized crystal structure of Ca5PbAu2.

Cell lengths 9.3178, 9.3178, 9.3178 Å; angles 128.83, 128.83, 75.28 degrees
Last column: nearest neighbours and their distance in Å.
Positions (direct):
Ca: 0.0000 0.0000 0.0000  4 Au 3.16
Ca: 0.0289 0.5289 0.8374  3 Au 3.09-3.18, 2 Pb 3.41
Ca: 0.1915 0.0289 0.5000  3 Au 3.09-3.18, 2 Pb 3.41
Ca: 0.3085 0.8085 0.8374  3 Au 3.09-3.18, 2 Pb 3.41
Ca: 0.4711 0.3085 0.5000  3 Au 3.09-3.18, 2 Pb 3.41
Ca: 0.5000 0.5000 0.0000  4 Au 3.16
Ca: 0.5289 0.6915 0.5000  3 Au 3.09-3.18, 2 Pb 3.41
Ca: 0.6915 0.1915 0.1626  3 Au 3.09-3.18, 2 Pb 3.41
Ca: 0.8085 0.9711 0.5000  3 Au 3.09-3.18, 2 Pb 3.41
Ca: 0.9711 0.4711 0.1626  3 Au 3.09-3.18, 2 Pb 3.41
Pb: 0.2500 0.2500 0.0000  10 Ca 3.41-3.69
Pb: 0.7500 0.7500 0.0000  10 Ca 3.41-3.69
Au: 0.1286 0.3714 0.5000  1 Au 2.93, 8 Ca 3.09-3.18
Au: 0.3714 0.8714 0.2427  1 Au 2.93, 8 Ca 3.09-3.18
Au: 0.6286 0.1286 0.7573  1 Au 2.93, 8 Ca 3.09-3.18
Au: 0.8714 0.6286 0.5000  1 Au 2.93, 8 Ca 3.09-3.18

Results
- Magnetic moment: 0.00 μB per formula unit
- ΔE_f: -0.652 eV/atom
- Raw total energy: -3.186 eV per atom



6.
A plane-wave DFT calculation with GGA-PBE was carried out for an optimized crystal structure of Hg2SbPb5.

Cell lengths 5.9920, 6.0598, 6.9507 Å; angles 91.77, 91.50, 109.86 degrees
Last column: nearest neighbours and their distance in Å.
Positions (direct):
Hg: 0.0000 0.0000 0.0000  8 Pb 3.34-3.61, 2 Sb 3.36-3.56, 2 Hg 3.46-3.49
Hg: 0.0025 0.0020 0.5017  10 Pb 3.39-3.55, 2 Hg 3.46-3.49
Sb: 0.5149 0.5135 0.0023  2 Hg 3.36-3.56, 10 Pb 3.37-3.56
Pb: 0.0008 0.4845 0.2470  4 Hg 3.35-3.61, 6 Pb 3.39-3.57, 2 Sb 3.39-3.51
Pb: 0.0186 0.5119 0.7608  2 Sb 3.37-3.49, 4 Hg 3.38-3.55, 6 Pb 3.39-3.57
Pb: 0.4871 0.9992 0.2441  4 Hg 3.34-3.55, 6 Pb 3.40-3.56, 2 Sb 3.40-3.54
Pb: 0.5114 0.0192 0.7570  4 Hg 3.38-3.51, 2 Sb 3.39-3.56, 6 Pb 3.40-3.56
Pb: 0.5133 0.5126 0.5007  2 Hg 3.39-3.54, 8 Pb 3.45-3.54, 2 Sb 3.47-3.49

Results
- Magnetic moment: 0.00 μB per formula unit
- Raw total energy: -2.876 eV per atom
- Offset from the most stable computed form: 0 meV/atom



7.
A plane-wave DFT calculation with GGA-PBE was carried out for an optimized crystal structure of Tb2Pm4YMg.

Cell lengths 5.0613, 5.0564, 10.0315 Å; angles 90.00, 90.05, 90.00 degrees
Last column: nearest neighbours and their distance in Å.
Positions (direct):
Tb: 0.0000 0.0000 0.0000  8 Pm 3.53, 4 Mg 3.58
Tb: 0.5000 0.5000 0.5000  4 Y 3.58, 8 Pm 3.59-3.60
Pm: 0.0003 0.5000 0.2458  4 Tb 3.53-3.60, 2 Mg 3.53, 4 Pm 3.58, 2 Y 3.59
Pm: 0.9997 0.5000 0.7542  4 Tb 3.53-3.60, 2 Mg 3.53, 4 Pm 3.58, 2 Y 3.59
Pm: 0.5000 0.0000 0.2458  2 Mg 3.53, 4 Tb 3.53-3.59, 4 Pm 3.58, 2 Y 3.59
Pm: 0.5000 0.0000 0.7542  2 Mg 3.53, 4 Tb 3.53-3.59, 4 Pm 3.58, 2 Y 3.59
Y: 0.0000 0.0000 0.5000  4 Tb 3.58, 8 Pm 3.59
Mg: 0.5000 0.5000 0.0000  8 Pm 3.53, 4 Tb 3.58

Results
- Magnetic moment: 0.00 μB per formula unit
- ΔE_f: 0.009 eV/atom
- Raw total energy: -4.531 eV per atom



8.
A plane-wave DFT calculation with GGA-PBE was carried out for an optimized crystal structure of Pm5Er2Tm6.

Cell lengths 11.5493, 20.3649, 3.5645 Å; angles 90.00, 90.00, 90.00 degrees
Last column: nearest neighbours and their distance in Å.
Positions (direct):
Pm: 0.0000 0.0000 0.0000  6 Tm 3.34-3.47, 4 Pm 3.56-3.63
Pm: 0.0831 0.2719 0.0000  5 Tm 3.33-3.48, 4 Er 3.46-3.58, 2 Pm 3.56
Pm: 0.1984 0.5500 0.0000  6 Tm 3.52-3.59, 3 Pm 3.56-3.63, 2 Er 3.72
Pm: 0.3016 0.0500 0.0000  6 Tm 3.52-3.59, 3 Pm 3.56-3.63, 2 Er 3.72
Pm: 0.4169 0.7719 0.0000  5 Tm 3.33-3.48, 4 Er 3.46-3.58, 2 Pm 3.56
Pm: 0.5000 0.5000 0.0000  6 Tm 3.34-3.47, 4 Pm 3.56-3.63
Pm: 0.5831 0.2281 0.0000  5 Tm 3.33-3.48, 4 Er 3.46-3.58, 2 Pm 3.56
Pm: 0.6984 0.9500 0.0000  6 Tm 3.52-3.59, 3 Pm 3.56-3.63, 2 Er 3.72
Pm: 0.8016 0.4500 0.0000  6 Tm 3.52-3.59, 3 Pm 3.56-3.63, 2 Er 3.72
Pm: 0.9169 0.7281 0.0000  5 Tm 3.33-3.48, 4 Er 3.46-3.58, 2 Pm 3.56
Er: 0.1712 0.7097 0.5000  3 Tm 3.28-3.56, 4 Pm 3.46-3.58, 2 Er 3.56
Er: 0.3288 0.2097 0.5000  3 Tm 3.28-3.56, 4 Pm 3.46-3.58, 2 Er 3.56
Er: 0.6712 0.7903 0.5000  3 Tm 3.28-3.56, 4 Pm 3.46-3.58, 2 Er 3.56
Er: 0.8288 0.2903 0.5000  3 Tm 3.28-3.56, 4 Pm 3.46-3.58, 2 Er 3.56
Tm: 0.0615 0.4181 0.5000  6 Pm 3.48-3.59, 5 Tm 3.56-3.71, 1 Er 3.74
Tm: 0.0805 0.1310 0.5000  1 Er 3.28, 6 Pm 3.34-3.52, 4 Tm 3.45-3.56
Tm: 0.1750 0.8612 0.0000  2 Pm 3.33-3.47, 6 Tm 3.45-3.71, 2 Er 3.56
Tm: 0.3250 0.3612 0.0000  2 Pm 3.33-3.47, 6 Tm 3.45-3.71, 2 Er 3.56
Tm: 0.4195 0.6310 0.5000  1 Er 3.28, 6 Pm 3.34-3.52, 4 Tm 3.45-3.56
Tm: 0.4385 0.9181 0.5000  6 Pm 3.48-3.59, 5 Tm 3.56-3.71, 1 Er 3.74
Tm: 0.5615 0.0819 0.5000  6 Pm 3.48-3.59, 5 Tm 3.56-3.71, 1 Er 3.74
Tm: 0.5805 0.3690 0.5000  1 Er 3.28, 6 Pm 3.34-3.52, 4 Tm 3.45-3.56
Tm: 0.6750 0.6388 0.0000  2 Pm 3.33-3.47, 6 Tm 3.45-3.71, 2 Er 3.56
Tm: 0.8250 0.1388 0.0000  2 Pm 3.33-3.47, 6 Tm 3.45-3.71, 2 Er 3.56
Tm: 0.9195 0.8690 0.5000  1 Er 3.28, 6 Pm 3.34-3.52, 4 Tm 3.45-3.56
Tm: 0.9385 0.5819 0.5000  6 Pm 3.48-3.59, 5 Tm 3.56-3.71, 1 Er 3.74

Results
- Magnetic moment: 0.00 μB per formula unit
- ΔE_f: 0.097 eV/atom
- Raw total energy: -4.496 eV per atom



9.
A plane-wave DFT calculation with GGA-PBE was carried out for an optimized crystal structure of LaSi2Pt.

Cell lengths 5.8792, 5.8792, 5.8792 Å; angles 41.17, 41.17, 41.17 degrees
Last column: nearest neighbours and their distance in Å.
Positions (direct):
La: 0.0000 0.0000 0.0000  8 Si 3.08-3.43
Si: 0.2130 0.2130 0.2130  3 Pt 2.50
Si: 0.7870 0.7870 0.7870  3 Pt 2.50
Pt: 0.5000 0.5000 0.5000  6 Si 2.50

Results
- Magnetic moment: 0.00 μB per formula unit
- Raw total energy: -6.417 eV per atom



10.
A plane-wave DFT calculation with GGA-PBE was carried out for an optimized crystal structure of Cs4Tb3ZrSe8.

Cell lengths 9.6898, 9.6898, 9.6898 Å; angles 51.50, 51.50, 51.50 degrees
Last column: nearest neighbours and their distance in Å.
Positions (direct):
Cs: 0.0000 0.0000 0.0000  6 Se 3.65
Cs: 0.0000 0.5000 0.5000  6 Se 3.56-3.57
Cs: 0.5000 0.0000 0.5000  6 Se 3.56-3.57
Cs: 0.5000 0.5000 0.0000  6 Se 3.56-3.57
Tb: 0.0000 0.0000 0.5000  6 Se 2.90-2.92
Tb: 0.0000 0.5000 0.0000  6 Se 2.90-2.92
Tb: 0.5000 0.0000 0.0000  6 Se 2.90-2.92
Zr: 0.5000 0.5000 0.5000  6 Se 2.81
Se: 0.2294 0.2294 0.2294  3 Tb 2.90
Se: 0.2406 0.7220 0.7220  1 Zr 2.81, 2 Tb 2.92
Se: 0.2780 0.2780 0.7594  1 Zr 2.81, 2 Tb 2.92
Se: 0.2780 0.7594 0.2780  1 Zr 2.81, 2 Tb 2.92
Se: 0.7220 0.2406 0.7220  1 Zr 2.81, 2 Tb 2.92
Se: 0.7220 0.7220 0.2406  1 Zr 2.81, 2 Tb 2.92
Se: 0.7594 0.2780 0.2780  1 Zr 2.81, 2 Tb 2.92
Se: 0.7706 0.7706 0.7706  3 Tb 2.90

Results
- Magnetic moment: 0.53 μB per formula unit
- Raw total energy: -4.960 eV per atom



11.
A plane-wave DFT calculation with GGA-PBE was carried out for an optimized crystal structure of Ba2CaRe.

Cell lengths 9.1758, 9.1758, 5.2742 Å; angles 106.65, 106.65, 22.32 degrees
Last column: nearest neighbours and their distance in Å.
Positions (direct):
Ba: 0.1511 0.1511 0.1506  2 Re 3.15
Ba: 0.8489 0.8489 0.8494  2 Re 3.15
Ca: 0.0000 0.0000 0.5000  4 Re 3.18, 2 Ca 3.55
Re: 0.5000 0.5000 0.0000  4 Ba 3.15, 4 Ca 3.18

Results
- Magnetic moment: 0.62 μB per formula unit
- ΔE_f: 0.776 eV/atom
- Raw total energy: -3.797 eV per atom
- Offset from the most stable computed form: 0 meV/atom



12.
A plane-wave DFT calculation with GGA-PBE was carried out for an optimized crystal structure of CaLa5Cd2In.

Cell lengths 7.8223, 7.8223, 10.3528 Å; angles 90.00, 90.00, 90.00 degrees
Last column: nearest neighbours and their distance in Å.
Positions (direct):
Ca: 0.0000 0.0000 0.0000  8 La 3.83, 4 In 3.91
Ca: 0.5000 0.5000 0.0000  8 La 3.83, 4 In 3.91
La: 0.0000 0.0000 0.5000  4 Cd 3.11
La: 0.1929 0.3071 0.2486  3 Cd 3.31-3.63, 1 In 3.34
La: 0.1929 0.3071 0.7514  3 Cd 3.31-3.63, 1 In 3.34
La: 0.3071 0.8071 0.2486  3 Cd 3.31-3.63, 1 In 3.34
La: 0.3071 0.8071 0.7514  3 Cd 3.31-3.63, 1 In 3.34
La: 0.5000 0.5000 0.5000  4 Cd 3.11
La: 0.6929 0.1929 0.2486  3 Cd 3.31-3.63, 1 In 3.34
La: 0.6929 0.1929 0.7514  3 Cd 3.31-3.63, 1 In 3.34
La: 0.8071 0.6929 0.2486  3 Cd 3.31-3.63, 1 In 3.34
La: 0.8071 0.6929 0.7514  3 Cd 3.31-3.63, 1 In 3.34
Cd: 0.1221 0.6221 0.5000  1 Cd 2.70
Cd: 0.3779 0.1221 0.5000  1 Cd 2.70
Cd: 0.6221 0.8779 0.5000  1 Cd 2.70
Cd: 0.8779 0.3779 0.5000  1 Cd 2.70
In: 0.0000 0.5000 0.0000  4 La 3.34
In: 0.5000 0.0000 0.0000  4 La 3.34

Results
- Magnetic moment: 0.00 μB per formula unit
- ΔE_f: -0.125 eV/atom
- Raw total energy: -3.592 eV per atom



> What is the raw total energy in the first record?

-3.698 eV per atom



> Which of these has the lowest raw total energy?

CoWSe